--- w ---
VASP calculation (PBE) on a relaxed CaAs2W crystal.

Computed properties:
Spin magnetization, μB per formula unit: 0.0

a = 7.3448 Å, b = 7.3448 Å, c = 7.3432 Å
α = 153.41°, β = 152.19°, γ = 38.89°
Atoms (fractional coordinates):
1 W 0.2018 0.7018 0.5000
2 Ca 0.4509 0.4509 0.0000
3 As 0.7792 0.2792 0.5000
4 As 0.0681 0.0681 0.0000

--- x ---
VASP calculation (PBE) on a relaxed CaAs2W crystal.

Computed properties:
Spin magnetization, μB per formula unit: 0.0

a = 4.8555 Å, b = 3.5521 Å, c = 5.2149 Å
α = 70.12°, β = 90.00°, γ = 90.00°
Atoms (fractional coordinates):
1 As 0.0000 0.8722 0.8807
2 W 0.5000 0.8642 0.8967
3 As 0.5000 0.1705 0.2844
4 Ca 0.0000 0.5932 0.4381

The structure with the most favorable energy is w; the runner-up is 103 meV/atom above it.

--- w ---
VASP calculation (PBE) on a relaxed CaAs2W crystal.

Computed properties:
Spin magnetization, μB per formula unit: 0.0

a = 4.7247 Å, b = 4.7247 Å, c = 3.3479 Å
α = 90.00°, β = 90.00°, γ = 96.07°
Atoms (fractional coordinates):
1 W 0.0000 0.5000 0.5000
2 As 0.0000 0.0000 0.0000
3 Ca 0.5000 0.0000 0.5000
4 As 0.5000 0.5000 0.0000

--- x ---
VASP calculation (PBE) on a relaxed CaAs2W crystal.

Computed properties:
Spin magnetization, μB per formula unit: 1.6

a = 5.6848 Å, b = 5.6848 Å, c = 5.6848 Å
α = 139.28°, β = 139.28°, γ = 58.95°
Last column: magnetic moment on the atom in μB.
Atoms (fractional coordinates):
1 As 0.2500 0.7500 0.5000  -0.05
2 W 0.7500 0.2500 0.5000  1.35
3 As 0.0000 0.0000 0.0000  -0.04
4 Ca 0.5000 0.5000 0.0000  0.04

--- y ---
VASP calculation (PBE) on a relaxed CaAs2W crystal.

Computed properties:
Spin magnetization, μB per formula unit: 1.4

a = 4.7661 Å, b = 4.7661 Å, c = 4.7661 Å
α = 60.00°, β = 60.00°, γ = 60.00°
Last column: magnetic moment on the atom in μB.
Atoms (fractional coordinates):
1 As 0.0000 0.0000 0.0000  -0.07
2 W 0.7500 0.7500 0.7500  1.18
3 As 0.2500 0.2500 0.2500  -0.09
4 Ca 0.5000 0.5000 0.5000  0.10

The structure with the most favorable energy is w; the runner-up is 133 meV/atom above it.

--- w ---
VASP calculation (PBE) on a relaxed CaAs2W crystal.

Computed properties:
Spin magnetization, μB per formula unit: 0.6

a = 4.6869 Å, b = 4.6869 Å, c = 4.6869 Å
α = 119.93°, β = 119.93°, γ = 90.12°
Last column: magnetic moment on the atom in μB.
Atoms (fractional coordinates):
1 As 0.5000 0.5000 0.0000  -0.01
2 W 0.7500 0.2500 0.5000  0.42
3 Ca 0.2500 0.7500 0.5000  0.01
4 As 0.0000 0.0000 0.0000  -0.01

--- x ---
VASP calculation (PBE) on a relaxed CaAs2W crystal.

Computed properties:
Spin magnetization, μB per formula unit: 1.1

a = 6.2555 Å, b = 6.2555 Å, c = 7.4219 Å
α = 65.08°, β = 65.08°, γ = 90.00°
Last column: magnetic moment on the atom in μB.
Atoms (fractional coordinates):
1 Ca 0.5000 0.5000 0.0000  0.02
2 As 0.8750 0.9452 0.7500  -0.02
3 As 0.3750 0.3048 0.7500  -0.02
4 Ca 0.2500 0.7500 0.5000  0.02
5 W 0.0000 0.0000 0.0000  0.84
6 W 0.7500 0.2500 0.5000  0.84
7 As 0.0548 0.6250 0.2500  -0.01
8 As 0.6952 0.1250 0.2500  -0.01

--- y ---
VASP calculation (PBE) on a relaxed CaAs2W crystal.

Computed properties:
Spin magnetization, μB per formula unit: 0.0

a = 7.4483 Å, b = 7.4483 Å, c = 7.4481 Å
α = 28.44°, β = 28.44°, γ = 28.44°
Atoms (fractional coordinates):
1 As 0.2634 0.2634 0.2633
2 W 0.6688 0.6688 0.6686
3 As 0.0711 0.0711 0.0711
4 Ca 0.4967 0.4967 0.4970

The structure with the most favorable energy is y; the runner-up is 310 meV/atom above it.

--- w ---
VASP calculation (PBE) on a relaxed CaAsW crystal.

Computed properties:
Spin magnetization, μB per formula unit: 0.8

a = 3.3570 Å, b = 3.3570 Å, c = 6.4596 Å
α = 90.00°, β = 90.00°, γ = 120.00°
Last column: magnetic moment on the atom in μB.
Atoms (fractional coordinates):
1 Ca 0.6667 0.3333 0.3182  0.10
2 As 0.0000 0.0000 0.9670  0.02
3 W 0.3333 0.6667 0.7148  0.28

--- x ---
VASP calculation (PBE) on a relaxed CaAsW crystal.

Computed properties:
Spin magnetization, μB per formula unit: 0.5

a = 4.4764 Å, b = 4.4764 Å, c = 4.4764 Å
α = 60.00°, β = 60.00°, γ = 60.00°
Last column: magnetic moment on the atom in μB.
Atoms (fractional coordinates):
1 W 0.5000 0.5000 0.5000  0.35
2 Ca 0.0000 0.0000 0.0000  0.00
3 As 0.7500 0.7500 0.7500  -0.01

--- y ---
VASP calculation (PBE) on a relaxed CaAsW crystal.

Computed properties:
Spin magnetization, μB per formula unit: 0.0

a = 6.0125 Å, b = 6.0123 Å, c = 3.3479 Å
α = 73.84°, β = 73.83°, γ = 32.33°
Atoms (fractional coordinates):
1 W 0.6306 0.6306 0.3694
2 Ca 0.3318 0.3318 0.6682
3 As 0.0377 0.0377 0.9623

The structure with the most favorable energy is y; the runner-up is 197 meV/atom above it.

--- w ---
VASP calculation (PBE) on a relaxed Ca2AsW2 crystal.

Computed properties:
Spin magnetization, μB per formula unit: 0.0

a = 6.5983 Å, b = 6.5983 Å, c = 5.1527 Å
α = 90.00°, β = 90.00°, γ = 90.00°
Atoms (fractional coordinates):
1 W 0.6347 0.1347 0.0000
2 W 0.1347 0.3653 0.0000
3 W 0.3653 0.8653 0.0000
4 As 0.0000 0.0000 0.0000
5 Ca 0.8329 0.3329 0.5000
6 Ca 0.6671 0.8329 0.5000
7 As 0.5000 0.5000 0.0000
8 Ca 0.3329 0.1671 0.5000
9 Ca 0.1671 0.6671 0.5000
10 W 0.8653 0.6347 0.0000

--- x ---
VASP calculation (PBE) on a relaxed Ca2AsW2 crystal.

Computed properties:
Spin magnetization, μB per formula unit: 0.0

a = 4.2184 Å, b = 4.2184 Å, c = 7.5690 Å
α = 73.82°, β = 73.82°, γ = 90.00°
Atoms (fractional coordinates):
1 Ca 0.7500 0.2500 0.5000
2 W 0.4204 0.4204 0.1592
3 W 0.5796 0.5796 0.8408
4 Ca 0.2500 0.7500 0.5000
5 As 0.0000 0.0000 0.0000

The structure with the most favorable energy is w; the runner-up is 1206 meV/atom above it.

--- w ---
VASP calculation (PBE) on a relaxed CaAs3W crystal.

Computed properties:
Spin magnetization, μB per formula unit: 0.0

a = 4.9489 Å, b = 4.9489 Å, c = 4.9489 Å
α = 90.00°, β = 90.00°, γ = 90.00°
Atoms (fractional coordinates):
1 As 0.0000 0.5000 0.0000
2 As 0.0000 0.0000 0.5000
3 W 0.0000 0.0000 0.0000
4 Ca 0.5000 0.5000 0.5000
5 As 0.5000 0.0000 0.0000

--- x ---
VASP calculation (PBE) on a relaxed CaAs3W crystal.

Computed properties:
Spin magnetization, μB per formula unit: 0.0

a = 5.0523 Å, b = 5.0523 Å, c = 5.0523 Å
α = 90.00°, β = 90.00°, γ = 90.00°
Atoms (fractional coordinates):
1 As 0.0000 0.5000 0.0000
2 W 0.5000 0.5000 0.5000
3 As 0.0000 0.0000 0.5000
4 Ca 0.0000 0.0000 0.0000
5 As 0.5000 0.0000 0.0000

The structure with the most favorable energy is w; the runner-up is 1948 meV/atom above it.

--- w ---
VASP calculation (PBE) on a relaxed Ca2As2W crystal.

Computed properties:
Spin magnetization, μB per formula unit: 0.0

a = 5.5561 Å, b = 5.5561 Å, c = 5.5561 Å
α = 123.92°, β = 123.92°, γ = 83.34°
Atoms (fractional coordinates):
1 W 0.0000 0.0000 0.0000
2 As 0.7500 0.2500 0.5000
3 As 0.2500 0.7500 0.5000
4 Ca 0.3415 0.3415 0.0000
5 Ca 0.6585 0.6585 0.0000

--- x ---
VASP calculation (PBE) on a relaxed Ca2As2W crystal.

Computed properties:
Spin magnetization, μB per formula unit: 0.0

a = 6.8811 Å, b = 6.8811 Å, c = 4.4656 Å
α = 90.00°, β = 90.00°, γ = 90.00°
Atoms (fractional coordinates):
1 As 0.8523 0.6477 0.0000
2 Ca 0.6692 0.8308 0.5000
3 As 0.3523 0.8523 0.0000
4 As 0.6477 0.1477 0.0000
5 Ca 0.1692 0.6692 0.5000
6 Ca 0.3308 0.1692 0.5000
7 As 0.1477 0.3523 0.0000
8 Ca 0.8308 0.3308 0.5000
9 W 0.0000 0.0000 0.0000
10 W 0.5000 0.5000 0.0000

The structure with the most favorable energy is x; the runner-up is 1120 meV/atom above it.

--- w ---
VASP calculation (PBE) on a relaxed CaY2As2 crystal.

Computed properties:
Spin magnetization, μB per formula unit: 0.0

a = 7.8760 Å, b = 7.8760 Å, c = 3.9819 Å
α = 90.00°, β = 90.00°, γ = 90.00°
Atoms (fractional coordinates):
1 Ca 0.5000 0.5000 0.0000
2 Y 0.8447 0.3447 0.5000
3 Y 0.6553 0.8447 0.5000
4 As 0.3507 0.8507 0.0000
5 Ca 0.0000 0.0000 0.0000
6 Y 0.1553 0.6553 0.5000
7 As 0.6493 0.1493 0.0000
8 As 0.1493 0.3507 0.0000
9 Y 0.3447 0.1553 0.5000
10 As 0.8507 0.6493 0.0000

--- x ---
VASP calculation (PBE) on a relaxed CaY2As2 crystal.

Computed properties:
Spin magnetization, μB per formula unit: 0.1

a = 4.6604 Å, b = 4.6604 Å, c = 7.3051 Å
α = 71.40°, β = 71.40°, γ = 90.00°
Atoms (fractional coordinates):
1 Ca 0.0000 0.0000 0.0000
2 Y 0.2500 0.7500 0.5000
3 As 0.3806 0.3806 0.2387
4 As 0.6194 0.6194 0.7613
5 Y 0.7500 0.2500 0.5000

The structure with the most favorable energy is w; the runner-up is 337 meV/atom above it.

--- w ---
VASP calculation (PBE) on a relaxed CaZnAs3 crystal.

Computed properties:
Spin magnetization, μB per formula unit: 0.0

a = 4.9210 Å, b = 4.9210 Å, c = 4.9210 Å
α = 90.00°, β = 90.00°, γ = 90.00°
Atoms (fractional coordinates):
1 As 0.0000 0.0000 0.5000
2 As 0.0000 0.5000 0.0000
3 Zn 0.0000 0.0000 0.0000
4 As 0.5000 0.0000 0.0000
5 Ca 0.5000 0.5000 0.5000

--- x ---
VASP calculation (PBE) on a relaxed CaZnAs3 crystal.

Computed properties:
Spin magnetization, μB per formula unit: 0.0

a = 5.3485 Å, b = 5.3485 Å, c = 5.3485 Å
α = 90.00°, β = 90.00°, γ = 90.00°
Atoms (fractional coordinates):
1 Zn 0.5000 0.5000 0.5000
2 As 0.5000 0.0000 0.0000
3 As 0.0000 0.5000 0.0000
4 Ca 0.0000 0.0000 0.0000
5 As 0.0000 0.0000 0.5000

The structure with the most favorable energy is w; the runner-up is 787 meV/atom above it.

--- w ---
VASP calculation (PBE) on a relaxed Ca3ZrAs crystal.

Computed properties:
Spin magnetization, μB per formula unit: 4.7

a = 5.6153 Å, b = 5.6153 Å, c = 5.6153 Å
α = 90.00°, β = 90.00°, γ = 90.00°
Last column: magnetic moment on the atom in μB.
Atoms (fractional coordinates):
1 As 0.0000 0.0000 0.0000  0.07
2 Ca 0.5000 0.0000 0.0000  0.10
3 Ca 0.0000 0.5000 0.0000  0.10
4 Zr 0.5000 0.5000 0.5000  1.68
5 Ca 0.0000 0.0000 0.5000  0.10

--- x ---
VASP calculation (PBE) on a relaxed Ca3ZrAs crystal.

Computed properties:
Spin magnetization, μB per formula unit: 0.9

a = 5.5903 Å, b = 5.5903 Å, c = 5.5903 Å
α = 90.00°, β = 90.00°, γ = 90.00°
Last column: magnetic moment on the atom in μB.
Atoms (fractional coordinates):
1 Zr 0.0000 0.0000 0.0000  0.38
2 Ca 0.5000 0.0000 0.0000  0.03
3 As 0.5000 0.5000 0.5000  0.02
4 Ca 0.0000 0.0000 0.5000  0.05
5 Ca 0.0000 0.5000 0.0000  0.06

The structure with the most favorable energy is w; the runner-up is 899 meV/atom above it.

--- w ---
VASP calculation (PBE) on a relaxed Cd4As5 crystal.

Computed properties:
Spin magnetization, μB per formula unit: 0.0

a = 8.6768 Å, b = 8.6768 Å, c = 5.8786 Å
α = 90.00°, β = 90.00°, γ = 120.00°
Atoms (fractional coordinates):
1 Cd 0.6789 0.0000 0.7500
2 As 0.6667 0.3333 0.5000
3 As 0.3558 0.0000 0.7500
4 As 0.6667 0.3333 0.0000
5 Cd 0.0000 0.6789 0.7500
6 Cd 0.0000 0.3211 0.2500
7 Cd 0.3211 0.0000 0.2500
8 Cd 0.0000 0.0000 0.5000
9 As 0.6442 0.6442 0.7500
10 As 0.3333 0.6667 0.5000
11 Cd 0.0000 0.0000 0.0000
12 As 0.3333 0.6667 0.0000
13 As 0.3558 0.3558 0.2500
14 Cd 0.6789 0.6789 0.2500
15 As 0.0000 0.3558 0.7500
16 As 0.0000 0.6442 0.2500
17 Cd 0.3211 0.3211 0.7500
18 As 0.6442 0.0000 0.2500

--- x ---
VASP calculation (PBE) on a relaxed Cd4As5 crystal.

Computed properties:
Spin magnetization, μB per formula unit: 0.0

a = 7.5899 Å, b = 7.5899 Å, c = 7.5899 Å
α = 93.19°, β = 93.19°, γ = 152.71°
Atoms (fractional coordinates):
1 As 0.0000 0.0000 0.0000
2 As 0.6825 0.3175 0.0000
3 Cd 0.6789 0.0000 0.6789
4 As 0.6825 0.6825 0.3651
5 As 0.3175 0.3175 0.6349
6 Cd 0.0000 0.3211 0.3211
7 As 0.3175 0.6825 0.0000
8 Cd 0.3211 0.0000 0.3211
9 Cd 0.0000 0.6789 0.6789

The structure with the most favorable energy is x; the runner-up is 32 meV/atom above it.

--- w ---
VASP calculation (PBE) on a relaxed Cd5As crystal.

Computed properties:
Spin magnetization, μB per formula unit: 0.0

a = 7.7784 Å, b = 7.7784 Å, c = 6.3497 Å
α = 67.05°, β = 67.05°, γ = 23.08°
Atoms (fractional coordinates):
1 As 0.9875 0.9875 0.1258
2 Cd 0.6370 0.6370 0.7133
3 Cd 0.6403 0.6403 0.2297
4 Cd 0.3081 0.3081 0.3083
5 Cd 0.9714 0.9714 0.6328
6 Cd 0.2891 0.2891 0.8235

--- x ---
VASP calculation (PBE) on a relaxed Cd5As crystal.

Computed properties:
Spin magnetization, μB per formula unit: 0.0

a = 5.2590 Å, b = 5.2590 Å, c = 5.6665 Å
α = 90.00°, β = 90.00°, γ = 120.00°
Atoms (fractional coordinates):
1 Cd 0.0000 0.6713 0.0000
2 Cd 0.3333 0.6667 0.5000
3 As 0.0000 0.0000 0.5000
4 Cd 0.6713 0.0000 0.0000
5 Cd 0.3287 0.3287 0.0000
6 Cd 0.6667 0.3333 0.5000

The structure with the most favorable energy is w; the runner-up is 25 meV/atom above it.